No. 1
## CdAgPt2 (meta-GGA SCAN)

Data for a crystal of CdAgPt2 relaxed with PBEsol.

a = 2.862 Å, b = 2.862 Å, c = 7.873 Å
α = 90.00°, β = 90.00°, γ = 90.00°
Sites, in units of the cell vectors:
Cd  0.000  0.000  0.000
Ag  0.000  0.000  0.500
Pt  0.500  0.500  0.251
Pt  0.500  0.500  0.749

Properties
- Space group: P4/mmm, No. 123
- Formation energy: -0.15 eV/atom
- Final energy: -50.692 eV/atom
- D(E_F): 1.254 states/eV per cell
- Volume: 16.12 Å³ per atom

---

No. 2
## CdAgPt2 (meta-GGA SCAN)

Data for a crystal of CdAgPt2 relaxed with PBEsol.

a = 4.838 Å, b = 4.838 Å, c = 4.838 Å
α = 130.08°, β = 130.08°, γ = 73.28°
Sites, in units of the cell vectors:
Cd  0.000  0.000  0.000
Ag  0.250  0.750  0.500
Pt  0.500  0.500  0.000
Pt  0.750  0.250  0.500

Properties
- Space group: I-4m2, No. 119
- Formation energy: -0.11 eV/atom
- Final energy: -50.656 eV/atom
- D(E_F): 2.261 states/eV per cell
- Volume: 16.18 Å³ per atom

---

No. 3
## CdAg2Pt (meta-GGA SCAN)

Data for a crystal of CdAg2Pt relaxed with PBEsol.

a = 5.566 Å, b = 5.566 Å, c = 2.862 Å
α = 103.83°, β = 103.83°, γ = 120.36°
Sites, in units of the cell vectors:
Cd  0.000  0.000  0.000
Ag  0.000  0.500  0.500
Ag  0.500  0.000  0.500
Pt  0.500  0.500  0.000

Properties
- Space group: C2/m, No. 12
- Formation energy: -0.09 eV/atom
- Final energy: -40.927 eV/atom
- D(E_F): 1.053 states/eV per cell
- Volume: 16.77 Å³ per atom

---

No. 4
## CdAgPt (meta-GGA SCAN)

Data for a crystal of CdAgPt relaxed with PBEsol.

a = 6.248 Å, b = 6.248 Å, c = 6.248 Å
α = 153.06°, β = 153.06°, γ = 38.47°
Sites, in units of the cell vectors:
Cd  0.000  0.000  0.000
Ag  0.675  0.675  0.000
Pt  0.338  0.338  0.000

Properties
- Space group: I4mm, No. 107
- Formation energy: -0.14 eV/atom
- Final energy: -44.134 eV/atom
- D(E_F): 0.889 states/eV per cell
- Volume: 16.67 Å³ per atom

---

No. 5
## CdAg2Pt (meta-GGA SCAN)

Data for a crystal of CdAg2Pt relaxed with PBEsol.

a = 4.994 Å, b = 4.994 Å, c = 4.994 Å
α = 132.47°, β = 132.47°, γ = 69.50°
Sites, in units of the cell vectors:
Cd  0.000  0.000  0.000
Ag  0.250  0.750  0.500
Ag  0.750  0.250  0.500
Pt  0.500  0.500  0.000

Properties
- Space group: I4/mmm, No. 139
- Formation energy: -0.12 eV/atom
- Final energy: -40.957 eV/atom
- D(E_F): 1.027 states/eV per cell
- Volume: 16.62 Å³ per atom

---

No. 6
## CdAg2Pt (meta-GGA SCAN)

Data for a crystal of CdAg2Pt relaxed with PBEsol.

a = 4.967 Å, b = 4.967 Å, c = 2.876 Å
α = 90.00°, β = 90.00°, γ = 110.69°
Sites, in units of the cell vectors:
Cd  0.000  0.000  0.000
Ag  0.000  0.500  0.500
Ag  0.500  0.000  0.500
Pt  0.500  0.500  0.000

Properties
- Space group: Cmmm, No. 65
- Formation energy: -0.07 eV/atom
- Final energy: -40.905 eV/atom
- D(E_F): 1.179 states/eV per cell
- Volume: 16.59 Å³ per atom

---

No. 7
## CdAgPt (meta-GGA SCAN)

Data for a crystal of CdAgPt relaxed with PBEsol.

a = 4.955 Å, b = 4.955 Å, c = 4.955 Å
α = 145.99°, β = 132.20°, γ = 59.96°
Sites, in units of the cell vectors:
Cd  0.000  0.000  0.000
Ag  0.329  0.329  0.000
Pt  0.664  0.664  0.000

Properties
- Space group: Imm2, No. 44
- Formation energy: -0.18 eV/atom
- Final energy: -44.171 eV/atom
- D(E_F): 0.824 states/eV per cell
- Volume: 16.65 Å³ per atom

---

No. 8
## CdAg2Pt (meta-GGA SCAN)

Data for a crystal of CdAg2Pt relaxed with PBEsol.

a = 4.914 Å, b = 4.914 Å, c = 4.914 Å
α = 130.90°, β = 130.90°, γ = 71.98°
Sites, in units of the cell vectors:
Cd  0.000  0.000  0.000
Ag  0.250  0.750  0.500
Ag  0.500  0.500  0.000
Pt  0.750  0.250  0.500

Properties
- Space group: I-4m2, No. 119
- Formation energy: -0.14 eV/atom
- Final energy: -40.976 eV/atom
- D(E_F): 0.950 states/eV per cell
- Volume: 16.57 Å³ per atom

---

No. 9
## CdAgPt2 (meta-GGA SCAN)

Data for a crystal of CdAgPt2 relaxed with PBEsol.

a = 4.896 Å, b = 4.896 Å, c = 4.942 Å
α = 99.51°, β = 99.51°, γ = 33.64°
Sites, in units of the cell vectors:
Cd  0.000  0.000  0.000
Ag  0.758  0.758  0.259
Pt  0.250  0.250  0.749
Pt  0.509  0.509  0.506

Properties
- Space group: Cm, No. 8
- Formation energy: -0.13 eV/atom
- Final energy: -50.674 eV/atom
- D(E_F): 1.648 states/eV per cell
- Volume: 16.16 Å³ per atom

---

No. 10
## CdAg2Pt (meta-GGA SCAN)

Data for a crystal of CdAg2Pt relaxed with PBEsol.

a = 2.854 Å, b = 4.806 Å, c = 4.901 Å
α = 90.00°, β = 92.85°, γ = 90.00°
Sites, in units of the cell vectors:
Cd  0.000  0.000  0.000
Ag  0.254  0.500  0.746
Ag  0.746  0.500  0.254
Pt  0.500  0.000  0.500

Properties
- Space group: P2/m, No. 10
- Formation energy: -0.08 eV/atom
- Final energy: -40.918 eV/atom
- D(E_F): 1.173 states/eV per cell
- Volume: 16.79 Å³ per atom

---

No. 11
## CdAgPt2 (meta-GGA SCAN)

Data for a crystal of CdAgPt2 relaxed with PBEsol.

a = 4.939 Å, b = 4.939 Å, c = 4.867 Å
α = 99.48°, β = 99.48°, γ = 33.27°
Sites, in units of the cell vectors:
Cd  0.000  0.000  0.000
Ag  0.500  0.500  0.500
Pt  0.251  0.251  0.748
Pt  0.749  0.749  0.252

Properties
- Space group: C2/m, No. 12
- Formation energy: -0.15 eV/atom
- Final energy: -50.695 eV/atom
- D(E_F): 1.506 states/eV per cell
- Volume: 16.04 Å³ per atom

---

No. 12
## RbCd2Ag2 (meta-GGA SCAN)

Data for a crystal of RbCd2Ag2 relaxed with PBEsol.

a = 6.383 Å, b = 6.383 Å, c = 6.383 Å
α = 134.18°, β = 134.18°, γ = 66.81°
Sites, in units of the cell vectors:
Rb  0.000  0.000  0.000
Cd  0.366  0.366  0.000
Cd  0.634  0.634  0.000
Ag  0.250  0.750  0.500
Ag  0.750  0.250  0.500

Properties
- Space group: I4/mmm, No. 139
- Formation energy: 0.02 eV/atom
- Final energy: -28.845 eV/atom
- D(E_F): 1.934 states/eV per cell
- Volume: 26.32 Å³ per atom

---

What is the formation energy in the third record?
-0.09 eV/atom

---

Copy entry 2 word for word.
## CdAgPt2 (meta-GGA SCAN)

Data for a crystal of CdAgPt2 relaxed with PBEsol.

a = 4.838 Å, b = 4.838 Å, c = 4.838 Å
α = 130.08°, β = 130.08°, γ = 73.28°
Sites, in units of the cell vectors:
Cd  0.000  0.000  0.000
Ag  0.250  0.750  0.500
Pt  0.500  0.500  0.000
Pt  0.750  0.250  0.500

Properties
- Space group: I-4m2, No. 119
- Formation energy: -0.11 eV/atom
- Final energy: -50.656 eV/atom
- D(E_F): 2.261 states/eV per cell
- Volume: 16.18 Å³ per atom

---

Number 1 is which compound?
CdAgPt2

---

final energy of number 10 (CdAg2Pt)?
-40.918 eV/atom